Crystalline Na2CrWO6 at its relaxed geometry. Source: the Alexandria database, functional GGA+U.

The structure in extended XYZ format:
```
20
Lattice="5.405 0.000 0.000 0.000 5.424 0.000 -5.384 0.000 7.630" Properties=species:S:1:pos:R:3 pbc="T T T"
Na -0.010 0.111 1.908
Na -2.702 2.601 5.723
Na 2.723 2.823 1.907
Na 0.031 5.313 5.722
Cr 2.702 0.000 0.000
Cr 0.010 2.712 3.815
W -2.692 0.000 3.815
W 0.000 2.712 0.000
O -4.237 1.187 7.394
O -1.545 1.525 3.579
O -3.832 3.894 7.409
O -1.140 4.242 3.594
O -2.372 0.052 5.736
O 0.320 2.660 1.921
O -0.299 2.764 5.709
O 2.393 5.373 1.894
O 1.161 1.182 4.036
O 3.853 1.530 0.221
O 1.566 3.899 4.051
O 4.258 4.237 0.236
```

Computed properties:
Its total magnetic moment is 3.96 μB/cell. Its electronic total energy is -131.3 eV for the cell shown. As for the space-group type: P2_1/c, No. 14.